# 1
SbAuSCl2 meta-GGA SCAN PBEsol geometry; space-group type = P4/mmm (123)
1.0
4.8266 0.0000 0.0000
0.0000 4.8266 0.0000
0.0000 0.0000 4.8730
Sb Au S Cl
1 1 1 2
direct
0.0000 0.0000 0.0000
0.5000 0.5000 0.5000
0.5000 0.5000 0.0000
0.0000 0.5000 0.5000
0.5000 0.0000 0.5000


# 2
Mg2TaMnO6 meta-GGA SCAN PBEsol geometry; space-group type = P2_1/m (11)
1.0
5.1256 0.0000 0.0000
0.0000 7.4952 0.0000
-0.0591 0.0000 5.3310
Mg Ta Mn O
4 2 2 12
direct
0.0031 0.2500 0.0412
0.4842 0.7500 0.4304
0.5158 0.2500 0.5696
0.9969 0.7500 0.9588
0.0000 0.0000 0.5000
0.0000 0.5000 0.5000
0.5000 0.0000 0.0000
0.5000 0.5000 0.0000
0.1321 0.2500 0.4358
0.1736 0.5682 0.1882
0.1736 0.9318 0.1882
0.3206 0.5661 0.6830
0.3206 0.9339 0.6830
0.3811 0.2500 0.9359
0.6189 0.7500 0.0641
0.6794 0.0661 0.3170
0.6794 0.4339 0.3170
0.8264 0.0682 0.8118
0.8264 0.4318 0.8118
0.8679 0.7500 0.5642


VASP energy? In order: -26.160, -15.973 eV per atom.
Total magnetic moment? In order: 0.000, 0.400 μB/atom.
Raw formation energy? In order: 241, -2756 meV/atom.